No. 1
Computed, not measured: an optimized crystal structure of MgPdSe at the PBE level of DFT.

Values from the calculation:
raw formation energy: -1.886 eV per formula unit
V: 21.17 Å³/atom
total energy: -0.149 hartree per atom

Cell lengths 4.053, 4.634, 7.605 Å; angles 94.51, 98.30, 114.56 degrees
Space group P1 (No. 1)
Unique sites:
1 Mg 0.000 0.000 0.000 (multiplicity 1)
2 Mg 0.407 0.274 0.549 (multiplicity 1)
3 Pd 0.051 0.616 0.457 (multiplicity 1)
4 Pd 0.691 0.962 0.299 (multiplicity 1)
5 Se 0.362 0.844 0.772 (multiplicity 1)
6 Se 0.689 0.440 0.150 (multiplicity 1)

***

No. 2
Computed, not measured: an optimized crystal structure of Ti5Mn2CoPt2 at the PBE level of DFT.

Values from the calculation:
energy relative to the elements: -0.282 eV per atom
V: 14.59 Å³/atom
total energy: -0.293 hartree per atom

Cell lengths 9.962, 9.962, 2.940 Å; angles 90.00, 90.00, 90.00 degrees
Space group P4/mbm (No. 127)
Unique sites:
1 Ti 0.000 0.500 0.000 (multiplicity 2)
2 Ti 0.071 0.196 0.000 (multiplicity 8)
3 Mn 0.132 0.368 0.500 (multiplicity 4)
4 Co 0.000 0.000 0.500 (multiplicity 2)
5 Pt 0.169 0.669 0.500 (multiplicity 4)

***

No. 3
Computed, not measured: an optimized crystal structure of ZnCo2CuW at the PBE level of DFT.

Values from the calculation:
energy relative to the elements: 1.393 eV per atom
V: 15.11 Å³/atom
total energy: -0.188 hartree per atom

Cell lengths 4.258, 4.258, 4.168 Å; angles 90.00, 90.00, 90.00 degrees
Space group P4/mmm (No. 123)
Unique sites:
1 Zn 0.000 0.000 0.000 (multiplicity 1)
2 Co 0.000 0.500 0.000 (multiplicity 2)
3 Cu 0.000 0.000 0.500 (multiplicity 1)
4 W 0.500 0.500 0.500 (multiplicity 1)

***

No. 4
Computed, not measured: an optimized crystal structure of Sr2PuH12Ru3 at the PBE level of DFT.

Values from the calculation:
V: 10.07 Å³/atom
total energy: -0.186 hartree per atom

Cell lengths 6.4818, 6.4818, 14.9406 Å; angles 90.00, 90.00, 120.00 degrees
Space group R-3m (No. 166, hexagonal axes)
Unique sites:
1 Sr 0.0000 0.0000 0.1125 (multiplicity 6)
2 Pu 0.0000 0.0000 0.5000 (multiplicity 3)
3 H 0.0425 0.5213 0.8872 (multiplicity 18)
4 H 0.0513 0.5257 0.3106 (multiplicity 18)
5 Ru 0.0000 0.5000 0.0000 (multiplicity 9)

***

No. 5
Computed, not measured: an optimized crystal structure of CuSeBr2 at the PBE level of DFT.

Values from the calculation:
energy above the most stable polymorph in this dataset: 227 meV/atom
raw formation energy: 0.243 eV per formula unit
V: 31.85 Å³/atom
total energy: -0.098 hartree per atom

Cell lengths 13.308, 2.733, 7.363 Å; angles 90.00, 107.91, 90.00 degrees
Space group Cm (No. 8)
Unique sites:
1 Cu 0.000 0.000 0.000 (multiplicity 2)
2 Se 0.151 0.000 0.264 (multiplicity 2)
3 Br 0.343 0.000 0.079 (multiplicity 2)
4 Br 0.481 0.000 0.692 (multiplicity 2)

***

No. 6
Computed, not measured: an optimized crystal structure of TlZn2Fe at the PBE level of DFT.

Values from the calculation:
energy above the most stable polymorph in this dataset: 84 meV/atom
energy relative to the elements: 0.330 eV per atom
V: 17.18 Å³/atom
total energy: -0.111 hartree per atom

Cell lengths 2.994, 3.505, 6.551 Å; angles 90.00, 90.00, 90.00 degrees
Space group Pmm2 (No. 25)
Unique sites:
1 Tl 0.000 0.000 0.000 (multiplicity 1)
2 Zn 0.000 0.000 0.533 (multiplicity 1)
3 Zn 0.500 0.500 0.317 (multiplicity 1)
4 Fe 0.500 0.500 0.711 (multiplicity 1)

***

No. 7
Computed, not measured: an optimized crystal structure of Mn2InTcW at the PBE level of DFT.

Values from the calculation:
energy relative to the elements: 2.707 eV per atom
V: 19.95 Å³/atom
total energy: -0.227 hartree per atom

Cell lengths 4.505, 4.505, 4.914 Å; angles 90.00, 90.00, 90.00 degrees
Space group P4/mmm (No. 123)
Unique sites:
1 Mn 0.000 0.500 0.000 (multiplicity 2)
2 In 0.000 0.000 0.000 (multiplicity 1)
3 Tc 0.500 0.500 0.500 (multiplicity 1)
4 W 0.000 0.000 0.500 (multiplicity 1)

***

No. 8
Computed, not measured: an optimized crystal structure of NaTiReW2 at the PBE level of DFT.

Values from the calculation:
energy relative to the elements: 2.201 eV per atom
V: 18.18 Å³/atom
total energy: -0.269 hartree per atom

Cell lengths 4.581, 4.581, 4.332 Å; angles 90.00, 90.00, 90.00 degrees
Space group P4/mmm (No. 123)
Unique sites:
1 Na 0.000 0.000 0.000 (multiplicity 1)
2 Ti 0.000 0.000 0.500 (multiplicity 1)
3 Re 0.500 0.500 0.000 (multiplicity 1)
4 W 0.000 0.500 0.500 (multiplicity 2)

***

No. 9
Computed, not measured: an optimized crystal structure of PuMg2Hg3 at the PBE level of DFT.

Values from the calculation:
energy relative to the elements: -0.209 eV per atom
V: 22.77 Å³/atom
total energy: -0.121 hartree per atom

Cell lengths 3.467, 3.467, 11.364 Å; angles 90.00, 90.00, 90.00 degrees
Space group P4/mmm (No. 123)
Unique sites:
1 Pu 0.000 0.000 0.000 (multiplicity 1)
2 Mg 0.000 0.000 0.346 (multiplicity 2)
3 Hg 0.500 0.500 0.191 (multiplicity 2)
4 Hg 0.500 0.500 0.500 (multiplicity 1)

***

No. 10
Computed, not measured: an optimized crystal structure of TlTcAgO4 at the PBE level of DFT.

Values from the calculation:
raw formation energy: -6.553 eV per formula unit
V: 20.11 Å³/atom
total energy: -0.220 hartree per atom

Cell lengths 6.817, 6.817, 6.057 Å; angles 90.00, 90.00, 90.00 degrees
Space group I-4 (No. 82)
Unique sites:
1 Tl 0.000 0.000 0.000 (multiplicity 2)
2 Tc 0.000 0.500 0.250 (multiplicity 2)
3 Ag 0.000 0.000 0.500 (multiplicity 2)
4 O 0.129 0.672 0.415 (multiplicity 8)

***

No. 11
Computed, not measured: an optimized crystal structure of PuMgTc at the PBE level of DFT.

Values from the calculation:
energy above the most stable polymorph in this dataset: 60 meV/atom
energy relative to the elements: 0.144 eV per atom
V: 20.74 Å³/atom
total energy: -0.317 hartree per atom

Cell lengths 3.260, 3.260, 11.709 Å; angles 90.00, 90.00, 90.00 degrees
Space group I4mm (No. 107)
Unique sites:
1 Pu 0.000 0.000 0.000 (multiplicity 2)
2 Mg 0.000 0.000 0.722 (multiplicity 2)
3 Tc 0.000 0.000 0.366 (multiplicity 2)

***

No. 12
Computed, not measured: an optimized crystal structure of Ac12HgRh6 at the PBE level of DFT.

Values from the calculation:
energy relative to the elements: -0.523 eV per atom
V: 33.03 Å³/atom
total energy: -0.200 hartree per atom

Cell lengths 10.787, 10.787, 10.787 Å; angles 90.00, 90.00, 90.00 degrees
Space group Im-3 (No. 204)
Unique sites:
1 Ac 0.000 0.312 0.182 (multiplicity 24)
2 Hg 0.000 0.000 0.000 (multiplicity 2)
3 Rh 0.000 0.132 0.500 (multiplicity 12)

***

No. 13
Computed, not measured: an optimized crystal structure of NiTe2I at the PBE level of DFT.

Values from the calculation:
raw formation energy: 0.653 eV per formula unit
V: 27.90 Å³/atom
total energy: -0.119 hartree per atom

Cell lengths 5.976, 5.976, 12.500 Å; angles 90.00, 90.00, 90.00 degrees
Space group I4_1/amd (No. 141, origin choice 2)
Unique sites:
1 Ni 0.000 0.250 0.375 (multiplicity 4)
2 Te 0.000 0.250 0.177 (multiplicity 8)
3 I 0.000 0.250 0.875 (multiplicity 4)

***

No. 14
Computed, not measured: an optimized crystal structure of Ac4Pd2Rh at the PBE level of DFT.

Values from the calculation:
energy above the most stable polymorph in this dataset: 0 meV/atom
energy relative to the elements: -0.649 eV per atom
V: 33.63 Å³/atom
total energy: -0.203 hartree per atom

Cell lengths 15.809, 4.461, 7.584 Å; angles 90.00, 118.33, 90.00 degrees
Space group C2/m (No. 12)
Unique sites:
1 Ac 0.122 0.000 0.279 (multiplicity 4)
2 Ac 0.127 0.500 0.802 (multiplicity 4)
3 Pd 0.247 0.000 0.747 (multiplicity 4)
4 Rh 0.000 0.500 0.000 (multiplicity 2)

***

No. 15
Computed, not measured: an optimized crystal structure of Ba4CrCo at the PBE level of DFT.

Values from the calculation:
energy relative to the elements: 1.229 eV per atom
V: 44.53 Å³/atom
total energy: -0.104 hartree per atom

Cell lengths 10.224, 10.224, 10.224 Å; angles 90.00, 90.00, 90.00 degrees
Space group F-43m (No. 216)
Unique sites:
1 Ba 0.125 0.125 0.125 (multiplicity 16)
2 Cr 0.000 0.000 0.500 (multiplicity 4)
3 Co 0.250 0.250 0.750 (multiplicity 4)